# Pr2YMg

Crystalline Pr2YMg at its relaxed geometry (PBE, the Alexandria database).

The structure in CIF format:
```
data_Pr2YMg
_chemical_formula_sum 'Pr8 Y4 Mg4'
_space_group_name_H-M_alt 'F m -3 m'
_space_group_IT_number 225
_space_group_name_Hall '-F 4 2 3'
_cell_length_a 8.003
_cell_length_b 8.003
_cell_length_c 8.003
_cell_angle_alpha 90.00
_cell_angle_beta 90.00
_cell_angle_gamma 90.00
loop_
_atom_site_label
_atom_site_fract_x
_atom_site_fract_y
_atom_site_fract_z
Pr1 0.250 0.250 0.250
Y1 0.000 0.000 0.000
Mg1 0.000 0.000 0.500
```

Results
Calculated density   5.12 Mg/m³
Energy   -70.06 eV for the cell shown
Crystal system   cubic
Magnetization   0.00 μB per formula unit
ΔE to the lowest computed polymorph   0.24 eV per formula unit